Entry 1:
GGA-PBEsol HfAuSN2, relaxed; density of states at the Fermi level = 3.9 states/eV per cell; total magnetic moment = 0.21 μB per atom; ΔE_f (raw) = 497 meV per atom
1.0
-2.755 1.807 -2.244
-2.341 0.405 3.201
2.247 4.725 1.046
Au N Hf S
1 2 1 1
Cartesian
-1.425 3.468 1.002 Au
-1.171 0.202 1.600 N
-1.378 0.904 -1.122 N
0.000 0.000 0.000 Hf
1.123 2.362 0.523 S

***

Entry 2:
GGA-PBEsol TeCF3, relaxed; density of states at the Fermi level = 3.4 states/eV per cell; total magnetic moment = 0.00 μB per atom; ΔE_f (raw) = 399 meV per atom
1.0
-2.342 3.211 0.220
-1.731 -1.028 -3.433
-2.713 -2.116 2.001
F Te C
3 1 1
Cartesian
-2.037 1.092 -1.607 F
-2.222 -1.572 -0.716 F
-2.527 0.548 1.111 F
0.000 0.000 0.000 Te
-3.393 0.034 -0.606 C

***

Entry 3:
GGA-PBEsol Fe2AsP, relaxed; density of states at the Fermi level = 3.4 states/eV per cell; total magnetic moment = 0.39 μB per atom; energy relative to the elements = -0.092 eV per atom
1.0
-1.247 2.155 1.356
-0.626 -2.353 3.165
3.531 1.093 1.511
As Fe P
1 2 1
Cartesian
0.829 0.447 3.016 As
-0.313 -1.177 1.582 Fe
1.765 0.546 0.756 Fe
-0.624 1.077 0.678 P

***

Entry 4:
GGA-PBEsol AsC5, relaxed; density of states at the Fermi level = 2.7 states/eV per cell; total magnetic moment = 0.00 μB per atom; energy relative to the elements = 3.210 eV per atom
1.0
4.310 0.000 0.000
2.155 3.732 0.000
2.155 1.244 3.519
C As
5 1
Cartesian
5.094 2.035 1.439 C
3.525 2.035 1.439 C
4.310 2.488 2.720 C
4.310 3.394 1.439 C
6.465 3.732 2.639 C
0.000 0.000 0.000 As

***

Entry 5:
GGA-PBEsol Li3CrO4, relaxed; density of states at the Fermi level = 14.7 states/eV per cell; total magnetic moment = 0.13 μB per atom; ΔE_f (raw) = -2004 meV per atom; ΔE to the lowest computed polymorph = 47 meV per atom
1.0
5.684 0.017 -0.011
0.003 5.684 -0.011
-2.727 -2.734 8.053
O Cr Li
16 4 12
Cartesian
2.278 3.692 2.953 O
2.303 0.645 3.071 O
0.657 2.323 4.960 O
3.672 5.046 1.161 O
-0.712 -2.079 6.870 O
2.323 0.920 6.979 O
2.311 -2.116 7.207 O
3.718 -0.705 4.850 O
0.637 2.047 1.052 O
-0.758 3.673 3.181 O
3.674 2.318 5.187 O
0.682 -0.724 5.078 O
0.649 5.083 0.824 O
-0.724 0.938 7.097 O
-0.714 0.649 2.844 O
3.684 2.030 0.934 O
5.026 0.911 1.006 Cr
-0.465 3.661 5.032 Cr
3.425 -0.694 2.999 Cr
-2.066 2.056 7.025 Cr
2.170 3.511 0.991 Li
-0.653 0.798 4.980 Li
-2.036 -0.630 6.994 Li
0.738 -0.671 2.967 Li
2.221 3.638 5.064 Li
2.163 0.716 0.954 Li
0.790 -0.543 7.040 Li
0.797 2.251 7.077 Li
0.818 2.155 3.014 Li
4.996 3.597 1.037 Li
3.612 2.169 3.051 Li
2.142 0.812 5.017 Li

***

Entry 6:
GGA-PBEsol Cr2ReSe, relaxed; density of states at the Fermi level = 4.1 states/eV per cell; total magnetic moment = 0.00 μB per atom; ΔE_f (raw) = 156 meV per atom; ΔE to the lowest computed polymorph = 0 meV per atom
1.0
2.915 0.000 0.000
0.000 2.915 0.000
0.000 0.000 6.127
Se Cr Re
1 2 1
Cartesian
1.457 1.457 3.063 Se
0.000 0.000 1.541 Cr
0.000 0.000 4.586 Cr
1.457 1.457 0.000 Re